(1)
The following is a PBE-GGA calculation of crystalline LiScSnO4 at its relaxed geometry, from the Alexandria database.

## Properties
E, eV per cell: -97.58
Space group: Imma
Formation energy (no corrections), meV/atom: -2387.3

Cell: 6.2981 6.3076 6.3076 Å, 60.02 60.05 60.05°
With the nearest neighbours (Å) after each atom.
Element x y z (fractional)
Li: 0.6366 0.6134 0.1134  4 O 2.08-2.15
Li: 0.3634 0.3866 0.8866  4 O 2.08-2.15
Sc: 0.5000 0.0000 0.5000  6 O 2.13-2.17
Sc: 0.0000 0.0000 0.5000  6 O 2.13-2.17
Sn: 0.0000 0.0000 0.0000  6 O 2.10-2.12
Sn: 0.0000 0.5000 0.5000  6 O 2.10-2.12
O: 0.7656 0.7587 0.7100  1 Li 2.08, 1 Sn 2.10, 2 Sc 2.13
O: 0.2344 0.7900 0.7413  1 Li 2.08, 1 Sn 2.10, 2 Sc 2.13
O: 0.7656 0.2100 0.2587  1 Li 2.08, 1 Sn 2.10, 2 Sc 2.13
O: 0.2344 0.2413 0.2900  1 Li 2.08, 1 Sn 2.10, 2 Sc 2.13
O: 0.2184 0.7573 0.2573  2 Sn 2.12, 1 Li 2.15, 1 Sc 2.17
O: 0.7670 0.7573 0.2573  2 Sn 2.12, 1 Li 2.15, 1 Sc 2.17
O: 0.2330 0.2427 0.7427  2 Sn 2.12, 1 Li 2.15, 1 Sc 2.17
O: 0.7816 0.2427 0.7427  2 Sn 2.12, 1 Li 2.15, 1 Sc 2.17

(2)
The following is a PBE-GGA calculation of crystalline ZrTiFe2 at its relaxed geometry, from the Alexandria database.

## Properties
E, eV per cell: -34.37
Space group: Fm-3m
Formation enthalpy at 0 K, eV per atom: -0.2503

Cell: 4.3377 4.3377 4.3377 Å, 60.00 60.00 60.00°
With the nearest neighbours (Å) after each atom.
Element x y z (fractional)
Fe: 0.2500 0.2500 0.2500  4 Zr 2.66, 4 Ti 2.66
Fe: 0.7500 0.7500 0.7500  4 Ti 2.66, 4 Zr 2.66
Zr: 0.5000 0.5000 0.5000  8 Fe 2.66
Ti: 0.0000 0.0000 0.0000  8 Fe 2.66

(3)
The following is a PBE-GGA calculation of crystalline Pm5Pt2Au2 at its relaxed geometry, from the Alexandria database.

## Properties
E, eV per cell: -100.65
Space group: Cmce
Formation enthalpy at 0 K, eV per atom: -0.8817

Cell: 7.9812 7.6017 8.6885 Å, 115.94 90.00 90.00°
With the nearest neighbours (Å) after each atom.
Element x y z (fractional)
Pm: 0.0000 0.0000 0.0000  4 Pt 3.00-3.11, 2 Au 3.23
Pm: 0.5000 0.5000 0.0000  4 Pt 3.00-3.11, 2 Au 3.23
Pm: 0.8280 0.8005 0.2642  3 Pt 3.01-3.19, 3 Au 3.10-3.14
Pm: 0.1720 0.4637 0.2642  3 Pt 3.01-3.19, 3 Au 3.10-3.14
Pm: 0.3280 0.9637 0.2642  3 Pt 3.01-3.19, 3 Au 3.10-3.14
Pm: 0.6720 0.3005 0.2642  3 Pt 3.01-3.19, 3 Au 3.10-3.14
Pm: 0.1720 0.1995 0.7358  3 Pt 3.01-3.19, 3 Au 3.10-3.14
Pm: 0.8280 0.5363 0.7358  3 Pt 3.01-3.19, 3 Au 3.10-3.14
Pm: 0.6720 0.0363 0.7358  3 Pt 3.01-3.19, 3 Au 3.10-3.14
Pm: 0.3280 0.6995 0.7358  3 Pt 3.01-3.19, 3 Au 3.10-3.14
Pt: 0.6307 0.8700 0.0000  1 Pt 2.87, 8 Pm 3.00-3.19
Pt: 0.3693 0.1300 0.0000  1 Pt 2.87, 8 Pm 3.00-3.19
Pt: 0.1307 0.6300 0.0000  1 Pt 2.87, 8 Pm 3.00-3.19
Pt: 0.8693 0.3700 0.0000  1 Pt 2.87, 8 Pm 3.00-3.19
Au: 0.0000 0.2069 0.4138  7 Pm 3.10-3.23
Au: 0.5000 0.7069 0.4138  7 Pm 3.10-3.23
Au: 0.0000 0.7931 0.5862  7 Pm 3.10-3.23
Au: 0.5000 0.2931 0.5862  7 Pm 3.10-3.23

E of number 1 (LiScSnO4)?
-97.58 eV per cell